## Mg8CdGa2 (PBE)

Data for crystalline Mg8CdGa2 at its relaxed geometry.

## Properties
Final energy: -1.84 eV per atom
Energy of formation from the pure elements: -0.050 eV per atom
Space group: No. 12
Magnetic moment: 0.000 μB per formula unit

CIF file:
```
data_Mg8CdGa2
_symmetry_space_group_name_H-M 'P 1'
_symmetry_Int_Tables_number 1
_cell_length_a 7.566
_cell_length_b 7.566
_cell_length_c 5.029
_cell_angle_alpha 101.19
_cell_angle_beta 101.19
_cell_angle_gamma 114.89
loop_
_symmetry_equiv_pos_as_xyz
'x,y,z'
loop_
_atom_site_label
_atom_site_fract_x
_atom_site_fract_y
_atom_site_fract_z
Mg1 0.083 0.323 0.600
Mg2 0.227 0.773 0.000
Mg3 0.323 0.083 0.600
Mg4 0.388 0.388 0.187
Mg5 0.612 0.612 0.813
Mg6 0.677 0.917 0.400
Mg7 0.773 0.227 0.000
Mg8 0.917 0.677 0.400
Cd1 0.000 0.000 0.000
Ga1 0.309 0.691 0.500
Ga2 0.691 0.309 0.500
```